Pm2Nd9Sm3 (PBE-GGA, optimized geometry); DOS at the Fermi energy = 1.35 states/eV/atom; space group = P6_3/m, No. 176; total moment = 0.000 μB per formula unit; formation enthalpy at 0 K = 0.228 eV per atom; DFT total energy = -4.53 eV per atom; density = 6.6 Mg/m³
1.0
9.223 0.000 0.000
-4.612 7.987 0.000
0.000 0.000 13.865
Pm Nd Sm
4 18 6
direct
0.333 0.667 0.141 Pm
0.333 0.667 0.359 Pm
0.667 0.333 0.641 Pm
0.667 0.333 0.859 Pm
0.082 0.480 0.750 Nd
0.130 0.723 0.540 Nd
0.130 0.723 0.960 Nd
0.277 0.407 0.540 Nd
0.277 0.407 0.960 Nd
0.399 0.918 0.750 Nd
0.407 0.130 0.040 Nd
0.407 0.130 0.460 Nd
0.480 0.399 0.250 Nd
0.520 0.601 0.750 Nd
0.593 0.870 0.540 Nd
0.593 0.870 0.960 Nd
0.601 0.082 0.250 Nd
0.723 0.593 0.040 Nd
0.723 0.593 0.460 Nd
0.870 0.277 0.040 Nd
0.870 0.277 0.460 Nd
0.918 0.520 0.250 Nd
0.081 0.250 0.250 Sm
0.169 0.919 0.250 Sm
0.250 0.169 0.750 Sm
0.750 0.831 0.250 Sm
0.831 0.081 0.750 Sm
0.919 0.750 0.750 Sm